Computed, not measured: YCd9Ag2 after structural relaxation at the PBE-GGA level of DFT.

The structure in POSCAR format:
```
YCd9Ag2
1.0
-5.9306 5.9306 3.7672
5.9306 -5.9306 3.7672
5.9306 5.9306 -3.7672
Y Cd Ag
2 18 4
Direct
0.3750 0.6250 0.7500
0.6250 0.3750 0.2500
0.1222 0.5530 0.3288
0.1222 0.7934 0.5692
0.1250 0.8750 0.2500
0.2066 0.2758 0.3288
0.2066 0.8778 0.9308
0.2758 0.2066 0.8288
0.2758 0.4470 0.0692
0.4470 0.2758 0.5692
0.4470 0.8778 0.1712
0.5530 0.1222 0.8288
0.5530 0.7242 0.4308
0.7242 0.5530 0.9308
0.7242 0.7934 0.1712
0.7934 0.1222 0.0692
0.7934 0.7242 0.6712
0.8750 0.1250 0.7500
0.8778 0.2066 0.4308
0.8778 0.4470 0.6712
0.0000 0.0000 0.0000
0.0000 0.0000 0.5000
0.0000 0.5000 0.0000
0.5000 0.0000 0.5000
```

Results
Fermi-level density of states   6.1 states/eV per cell
Space-group type   No. 141
Total energy   -43.3 eV for the cell shown
Magnetic moment   0.00 μB/cell
Energy of formation   -119 kJ/mol of formula units